Entry 1:
NaErW: relaxed, GGA-PBE.

Geometry as extended XYZ:
```
3
Lattice="0.000 3.315 3.315 3.315 0.000 3.315 3.315 3.315 0.000" Properties=species:S:1:pos:R:3 pbc="T T T"
Na 0.000 0.000 0.000
Er 4.973 4.973 4.973
W 1.658 1.658 1.658
```

Results
total DFT energy (no corrections) = -4.390 eV/atom
space group = F-43m, No. 216



Entry 2:
SrScAgSe2S: relaxed, GGA-PBE.

Geometry as extended XYZ:
```
12
Lattice="2.031 -6.765 0.000 2.031 6.765 0.000 0.000 0.000 10.195" Properties=species:S:1:pos:R:3 pbc="T T T"
Sr 2.031 3.466 7.646
Sr 2.031 -3.466 2.549
Sc 2.031 0.000 0.000
Sc 2.031 0.000 5.097
Ag 2.031 6.373 2.549
Ag 2.031 -6.373 7.646
Se 2.031 4.886 0.442
Se 2.031 4.886 4.655
Se 2.031 -4.886 5.539
Se 2.031 -4.886 9.753
S 2.031 1.090 2.549
S 2.031 -1.090 7.646
```

Results
total DFT energy (no corrections) = -5.080 eV/atom
space group = Cmcm, No. 63



Entry 3:
Sr2Al4CuIr: relaxed, GGA-PBE.

Geometry as extended XYZ:
```
8
Lattice="7.334 0.000 0.000 0.000 2.093 5.693 0.000 -2.093 5.693" Properties=species:S:1:pos:R:3 pbc="T T T"
Sr 0.000 0.000 0.000
Sr 3.667 0.000 1.097
Al 1.385 0.000 8.285
Al 2.285 0.000 4.244
Al 5.049 0.000 4.244
Al 5.949 0.000 8.285
Cu 3.667 0.000 9.379
Ir 0.000 0.000 3.080
```

Results
total DFT energy (no corrections) = -4.332 eV/atom
space group = Amm2, No. 38



Entry 4:
Tc2Ir: relaxed, GGA-PBE.

Geometry as extended XYZ:
```
6
Lattice="0.000 5.637 5.637 5.637 0.000 5.637 5.637 5.637 0.000" Properties=species:S:1:pos:R:3 pbc="T T T"
Tc 0.000 0.000 0.000
Tc 2.819 2.819 0.000
Tc 2.819 0.000 2.819
Tc 0.000 2.819 2.819
Ir 1.409 1.409 1.409
Ir 9.865 9.865 9.865
```

Results
energy of formation = 3174 meV/atom
energy above the lowest structure with this stoichiometry = 2813 meV/atom
space group = Fd-3m, No. 227



| no. | total magnetization (μB/f.u.) |
| --- | --- |
| 1 | 0.6 |
| 2 | 0.0 |
| 3 | 0.0 |
| 4 | 7.6 |